Density functional theory data (GGA+U) for an optimized crystal structure of Tl2CoF4.

Output
The value obtained for the spin magnetization is 3.0 μB per cell. As for the density of states at the Fermi level: 0.7833 states/eV per atom. As for the symmetry: No. 139. The crystal system is tetragonal. The energy above the lowest structure with this stoichiometry comes out at 63 meV per atom.

Unit cell a=4.180 b=4.180 c=7.668 alpha=74.18 beta=74.18 gamma=90.00
Each line ends with the local moment (μB).
Positions (direct):
1 F 0.142 0.142 0.715  0.04
2 Co 0.000 0.000 0.000  2.77
3 Tl 0.646 0.646 0.708  0.00
4 Tl 0.354 0.354 0.292  0.00
5 F 0.000 0.500 0.000  0.06
6 F 0.858 0.858 0.285  0.04
7 F 0.500 0.000 0.000  0.06